The following is a DFT calculation (PBE-GGA) of crystalline Li4I3Cl at its relaxed geometry.

Summary:
Uncorrected formation energy = -10.88 eV per formula unit

Cell: 8.7806 7.6770 7.1379 Å, 90.00 90.00 90.00°
Closest atoms and distances in Å follow each position.
Fractional positions:
1 Li 0.0000 0.1282 0.0000  1 Cl 2.42
2 Li 0.0000 0.8279 0.5532  1 Cl 2.41
3 Li 0.2271 0.6809 0.9986  1 Cl 2.42
4 Li 0.2729 0.3191 0.4986  1 Cl 2.42
5 Li 0.5000 0.1721 0.0532  1 Cl 2.41
6 Li 0.5000 0.8718 0.5000  1 Cl 2.42
7 Li 0.7271 0.3191 0.4986  1 Cl 2.42
8 Li 0.7729 0.6809 0.9986  1 Cl 2.42
9 I 0.0000 0.1564 0.3909  4 Li 2.78-2.81
10 I 0.2487 0.3311 0.8899  4 Li 2.78-2.80
11 I 0.2513 0.6689 0.3899  4 Li 2.78-2.80
12 I 0.5000 0.8436 0.8909  4 Li 2.78-2.81
13 I 0.7487 0.6689 0.3899  4 Li 2.78-2.80
14 I 0.7513 0.3311 0.8899  4 Li 2.78-2.80
15 Cl 0.0000 0.8298 0.8907  4 Li 2.41-2.42
16 Cl 0.5000 0.1702 0.3907  4 Li 2.41-2.42